Na2RhC | Alexandria | meta-GGA SCAN | PBEsol geometry; mass density = 4.6 Mg/m³; SG = No. 225; total moment = 0.4 μB/cell; E = -46.2 eV/f.u.; ΔH_f (0 K) = 1.536 eV/atom
1.0
0.0000 3.0784 3.0784
3.0784 0.0000 3.0784
3.0784 3.0784 0.0000
Na Rh C
2 1 1
direct
0.2500 0.2500 0.2500 Na
0.7500 0.7500 0.7500 Na
0.0000 0.0000 0.0000 Rh
0.5000 0.5000 0.5000 C